Compound: TeC2
Source: the Alexandria database
Functional: PBE
Structure: relaxed

**Calculated volume**: 14.49 Å³/atom
**D(E_F)**: 4.2 states/eV/cell
**Crystal system**: tetragonal
**M_tot**: 0.5 μB/cell
**Energy relative to the lowest polymorph listed for this composition**: 5.45 eV per formula unit
**Space group**: P4_2/mnm
**Formation energy (no corrections)**: 2.7356 eV per atom

Cell lengths 5.0533, 5.0533, 3.4042 Å; angles 90.00, 90.00, 90.00 degrees
Atoms (fractional coordinates):
Te 0.0000 0.0000 0.0000
Te 0.5000 0.5000 0.5000
C 0.1946 0.1946 0.5000
C 0.3054 0.6946 0.0000
C 0.6946 0.3054 0.0000
C 0.8054 0.8054 0.5000



Compound: Te5C4
Source: the Alexandria database
Functional: PBE
Structure: relaxed

**Calculated volume**: 17.58 Å³/atom
**D(E_F)**: 8.1 states/eV/cell
**Crystal system**: hexagonal
**M_tot**: 0.0 μB/cell
**Energy relative to the lowest polymorph listed for this composition**: 1.65 eV per formula unit
**Space group**: P6_3/mcm
**Formation energy (no corrections)**: 2.0523 eV per atom

Cell lengths 7.2697, 7.2697, 6.9156 Å; angles 90.00, 90.00, 120.00 degrees
Atoms (fractional coordinates):
Te 0.0000 0.2559 0.2500
Te 0.0000 0.7441 0.7500
Te 0.2559 0.0000 0.2500
Te 0.2559 0.2559 0.7500
Te 0.3333 0.6667 0.0000
Te 0.3333 0.6667 0.5000
Te 0.6667 0.3333 0.0000
Te 0.6667 0.3333 0.5000
Te 0.7441 0.0000 0.7500
Te 0.7441 0.7441 0.2500
C 0.0000 0.0000 0.0000
C 0.0000 0.0000 0.5000
C 0.0000 0.4061 0.7500
C 0.0000 0.5939 0.2500
C 0.4061 0.0000 0.7500
C 0.4061 0.4061 0.2500
C 0.5939 0.0000 0.2500
C 0.5939 0.5939 0.7500



Compound: TeC
Source: the Alexandria database
Functional: PBE
Structure: relaxed

**Calculated volume**: 20.94 Å³/atom
**D(E_F)**: 2.3 states/eV/cell
**Crystal system**: trigonal
**M_tot**: 0.0 μB/cell
**Energy relative to the lowest polymorph listed for this composition**: 0.68 eV per formula unit
**Space group**: R-3m
**Formation energy (no corrections)**: 1.0937 eV per atom

Cell lengths 11.9344, 11.9344, 11.9344 Å; angles 13.77, 13.77, 13.77 degrees
Atoms (fractional coordinates):
Te 0.1167 0.1167 0.1167
Te 0.8833 0.8833 0.8833
C 0.3333 0.3333 0.3333
C 0.6667 0.6667 0.6667



Compound: TeC
Source: the Alexandria database
Functional: PBE
Structure: relaxed

**Calculated volume**: 23.52 Å³/atom
**D(E_F)**: 2.7 states/eV/cell
**Crystal system**: monoclinic
**M_tot**: 0.0 μB/cell
**Energy relative to the lowest polymorph listed for this composition**: 1.98 eV per formula unit
**Space group**: Cm
**Formation energy (no corrections)**: 1.7481 eV per atom

Cell lengths 5.3512, 5.3512, 8.6058 Å; angles 104.61, 104.61, 36.44 degrees
Atoms (fractional coordinates):
Te 0.0000 0.0000 0.0000
Te 0.6216 0.6216 0.6076
Te 0.8702 0.8702 0.3608
C 0.0990 0.0990 0.4448
C 0.3971 0.3971 0.5264
C 0.4494 0.4494 0.1212



Compound: TeC2
Source: the Alexandria database
Functional: PBE
Structure: relaxed

**Calculated volume**: 15.27 Å³/atom
**D(E_F)**: 1.7 states/eV/cell
**Crystal system**: monoclinic
**M_tot**: 0.0 μB/cell
**Energy relative to the lowest polymorph listed for this composition**: 1.54 eV per formula unit
**Space group**: C2/m
**Formation energy (no corrections)**: 1.4330 eV per atom

Cell lengths 4.1932, 4.1932, 7.1296 Å; angles 106.38, 106.38, 50.26 degrees
Atoms (fractional coordinates):
Te 0.2118 0.2118 0.2721
Te 0.7882 0.7882 0.7279
C 0.0940 0.0940 0.5171
C 0.4562 0.4562 0.9038
C 0.5438 0.5438 0.0962
C 0.9060 0.9060 0.4829



Compound: Te2C
Source: the Alexandria database
Functional: PBE
Structure: relaxed

**Calculated volume**: 21.44 Å³/atom
**D(E_F)**: 2.7 states/eV/cell
**Crystal system**: trigonal
**M_tot**: 0.0 μB/cell
**Energy relative to the lowest polymorph listed for this composition**: 1.82 eV per formula unit
**Space group**: R-3m
**Formation energy (no corrections)**: 1.3355 eV per atom

Cell lengths 6.8158, 6.8158, 6.8158 Å; angles 28.64, 28.64, 28.64 degrees
Atoms (fractional coordinates):
Te 0.2453 0.2453 0.2453
Te 0.7547 0.7547 0.7547
C 0.5000 0.5000 0.5000